1.
A relaxed structure of Sc4SiHgN. Source: Alexandria via LeMat-Bulk, functional PBE-GGA.

Unit cell a=7.790 b=7.790 c=6.105 alpha=90.00 beta=90.00 gamma=133.79
Element x y z (fractional)
Sc1 0.000 0.500 0.000
Sc2 0.000 0.500 0.500
Sc3 0.083 0.917 0.750
Sc4 0.412 0.588 0.750
Sc5 0.500 0.000 0.000
Sc6 0.500 0.000 0.500
Sc7 0.588 0.412 0.250
Sc8 0.917 0.083 0.250
Si1 0.115 0.885 0.250
Si2 0.885 0.115 0.750
Hg1 0.391 0.609 0.250
Hg2 0.609 0.391 0.750
N1 0.249 0.751 0.750
N2 0.751 0.249 0.250

Calculated values
ΔE_f (raw) = -0.89 eV per atom
Magnetization = 0.0 μB per formula unit
Mass density = 5.2 g/cm³
V = 19.10 Å³/atom
N(E_F) = 0.70 states/eV per atom

***

2.
A relaxed structure of SrInSbI2. Source: Alexandria via LeMat-Bulk, functional PBE-GGA.

Unit cell a=6.355 b=6.355 c=6.580 alpha=90.00 beta=90.00 gamma=90.00
Element x y z (fractional)
Sr1 0.000 0.000 0.000
In1 0.500 0.500 0.500
Sb1 0.000 0.000 0.500
I1 0.000 0.500 0.000
I2 0.500 0.000 0.000

Calculated values
ΔE_f (raw) = -0.36 eV per atom
Magnetization = 2.0 μB per formula unit
Mass density = 3.6 g/cm³
V = 53.16 Å³/atom
Energy above the most stable polymorph in this dataset = 15.7 meV per atom
N(E_F) = 0.47 states/eV per atom

***

3.
A relaxed structure of CaDy2Tl2Ag2. Source: Alexandria via LeMat-Bulk, functional PBE-GGA.

Unit cell a=9.329 b=9.329 c=9.329 alpha=30.84 beta=30.84 gamma=30.84
Element x y z (fractional)
Ca1 0.000 0.000 0.000
Dy1 0.133 0.133 0.133
Dy2 0.867 0.867 0.867
Tl1 0.259 0.259 0.259
Tl2 0.741 0.741 0.741
Ag1 0.438 0.438 0.438
Ag2 0.562 0.562 0.562

Calculated values
Magnetization = 0.0 μB per formula unit
Formation enthalpy at 0 K = -0.17 eV per atom
Mass density = 8.7 g/cm³
V = 27.04 Å³/atom
N(E_F) = 0.92 states/eV per atom

***

Please write out number 1 again, unchanged.
A relaxed structure of Sc4SiHgN. Source: Alexandria via LeMat-Bulk, functional PBE-GGA.

Unit cell a=7.790 b=7.790 c=6.105 alpha=90.00 beta=90.00 gamma=133.79
Element x y z (fractional)
Sc1 0.000 0.500 0.000
Sc2 0.000 0.500 0.500
Sc3 0.083 0.917 0.750
Sc4 0.412 0.588 0.750
Sc5 0.500 0.000 0.000
Sc6 0.500 0.000 0.500
Sc7 0.588 0.412 0.250
Sc8 0.917 0.083 0.250
Si1 0.115 0.885 0.250
Si2 0.885 0.115 0.750
Hg1 0.391 0.609 0.250
Hg2 0.609 0.391 0.750
N1 0.249 0.751 0.750
N2 0.751 0.249 0.250

Calculated values
ΔE_f (raw) = -0.89 eV per atom
Magnetization = 0.0 μB per formula unit
Mass density = 5.2 g/cm³
V = 19.10 Å³/atom
N(E_F) = 0.70 states/eV per atom

***

Repeat the first record exactly.
A relaxed structure of Sc4SiHgN. Source: Alexandria via LeMat-Bulk, functional PBE-GGA.

Unit cell a=7.790 b=7.790 c=6.105 alpha=90.00 beta=90.00 gamma=133.79
Element x y z (fractional)
Sc1 0.000 0.500 0.000
Sc2 0.000 0.500 0.500
Sc3 0.083 0.917 0.750
Sc4 0.412 0.588 0.750
Sc5 0.500 0.000 0.000
Sc6 0.500 0.000 0.500
Sc7 0.588 0.412 0.250
Sc8 0.917 0.083 0.250
Si1 0.115 0.885 0.250
Si2 0.885 0.115 0.750
Hg1 0.391 0.609 0.250
Hg2 0.609 0.391 0.750
N1 0.249 0.751 0.750
N2 0.751 0.249 0.250

Calculated values
ΔE_f (raw) = -0.89 eV per atom
Magnetization = 0.0 μB per formula unit
Mass density = 5.2 g/cm³
V = 19.10 Å³/atom
N(E_F) = 0.70 states/eV per atom